The following is a GGA-PBE calculation of a relaxed structure of Ba3CdO, from Alexandria via LeMat-Bulk.

Output
The energy above the most stable polymorph in this dataset is 0.000 eV per atom. The calculated total energy is -3.424 eV per atom. The formation energy without anion corrections comes out at -1.10 eV/atom.

a = 7.909 Å, b = 11.040 Å, c = 7.915 Å
α = 90.00°, β = 90.00°, γ = 90.00°
Space group Pnma (No. 62)
Symmetry-distinct sites (fractional):
Ba1 0.004 0.250 0.052
Ba2 0.232 0.027 0.730
Cd1 0.016 0.750 0.497
O1 0.000 0.000 0.000

The following is a GGA-PBE calculation of a relaxed structure of CrRe3, from Alexandria via LeMat-Bulk.

Output
The calculated total energy is -9.175 eV per atom. Its calculated formation energy is 2.567 eV per atom.

a = 4.459 Å, b = 4.459 Å, c = 4.459 Å
α = 90.00°, β = 90.00°, γ = 90.00°
Space group Pm-3m (No. 221)
Symmetry-distinct sites (fractional):
Cr1 0.000 0.000 0.000
Re1 0.000 0.000 0.500

The following is a GGA-PBE calculation of a relaxed structure of KIrBr6, from Alexandria via LeMat-Bulk.

Output
The energy above the most stable polymorph in this dataset is 0.000 eV per atom. The calculated total energy is -3.008 eV per atom. The formation energy without anion corrections comes out at -0.51 eV/atom.

a = 10.756 Å, b = 7.076 Å, c = 8.635 Å
α = 90.00°, β = 125.18°, γ = 90.00°
Space group C2/m (No. 12)
Symmetry-distinct sites (fractional):
K1 0.000 0.000 0.000
Ir1 0.000 0.000 0.500
Br1 0.108 0.248 0.751
Br2 0.235 0.000 0.514

The following is a GGA-PBE calculation of a relaxed structure of YTlAs2, from Alexandria via LeMat-Bulk.

Output
The energy above the most stable polymorph in this dataset is 0.234 eV per atom. The calculated total energy is -4.918 eV per atom. Its calculated formation energy is -0.386 eV per atom.

a = 6.495 Å, b = 6.495 Å, c = 12.610 Å
α = 90.00°, β = 90.00°, γ = 90.00°
Space group I-42d (No. 122)
Symmetry-distinct sites (fractional):
Y1 0.000 0.000 0.000
Tl1 0.000 0.000 0.500
As1 0.243 0.250 0.625

The following is a GGA-PBE calculation of a relaxed structure of YMg2SnH, from Alexandria via LeMat-Bulk.

Output
The calculated total energy is -3.766 eV per atom.

a = 4.576 Å, b = 4.576 Å, c = 4.532 Å
α = 90.00°, β = 90.00°, γ = 90.00°
Space group P4/mmm (No. 123)
Symmetry-distinct sites (fractional):
Y1 0.000 0.000 0.000
Mg1 0.000 0.500 0.500
Sn1 0.500 0.500 0.000
H1 0.000 0.000 0.500

The following is a GGA-PBE calculation of a relaxed structure of KHf4S8, from Alexandria via LeMat-Bulk.

Output
The energy above the most stable polymorph in this dataset is 0.168 eV per atom. The calculated total energy is -7.144 eV per atom. The formation energy without anion corrections comes out at -1.46 eV/atom.

a = 10.905 Å, b = 10.905 Å, c = 10.905 Å
α = 90.00°, β = 90.00°, γ = 90.00°
Space group F-43m (No. 216)
Symmetry-distinct sites (fractional):
K1 0.000 0.000 0.000
Hf1 0.122 0.122 0.378
S1 0.115 0.115 0.615
S2 0.144 0.144 0.144